[1]
VASP calculation (PBE) on Pr6MgPb after structural relaxation.

a = 5.0686 Å, b = 5.0686 Å, c = 10.0604 Å
α = 90.00°, β = 90.00°, γ = 90.00°
With the nearest neighbours (Å) after each atom.
Fractional positions:
Pr: 0.5000 0.5000 0.0000  8 Pr 3.56, 4 Pb 3.58
Pr: 0.5000 0.5000 0.5000  8 Pr 3.58, 4 Mg 3.58
Pr: 0.5000 0.0000 0.2486  2 Pb 3.56, 8 Pr 3.56-3.58, 2 Mg 3.58
Pr: 0.5000 0.0000 0.7514  2 Pb 3.56, 8 Pr 3.56-3.58, 2 Mg 3.58
Pr: 0.0000 0.5000 0.2486  2 Pb 3.56, 8 Pr 3.56-3.58, 2 Mg 3.58
Pr: 0.0000 0.5000 0.7514  2 Pb 3.56, 8 Pr 3.56-3.58, 2 Mg 3.58
Mg: 0.0000 0.0000 0.5000  12 Pr 3.58
Pb: 0.0000 0.0000 0.0000  12 Pr 3.56-3.58

Values from the calculation:
As for the total magnetic moment: 0.00 μB per formula unit. As for the space-group type: P4/mmm.


[2]
VASP calculation (PBE) on Pr5MgPb3 after structural relaxation.

a = 6.7527 Å, b = 9.8133 Å, c = 9.8128 Å
α = 120.00°, β = 90.00°, γ = 90.00°
With the nearest neighbours (Å) after each atom.
Fractional positions:
Pr: 0.0000 0.6667 0.3333  2 Pr 3.38, 6 Pb 3.56
Pr: 0.5000 0.3333 0.6667  2 Pr 3.38, 6 Pb 3.56
Pr: 0.0000 0.3333 0.6667  2 Pr 3.38, 6 Pb 3.56
Pr: 0.5000 0.6667 0.3333  2 Pr 3.38, 6 Pb 3.56
Pr: 0.7500 0.7072 0.7072  5 Pb 3.28-3.45, 2 Mg 3.33
Pr: 0.7500 0.0000 0.2928  5 Pb 3.28-3.45, 2 Mg 3.33
Pr: 0.7500 0.2928 0.0000  5 Pb 3.28-3.45, 2 Mg 3.33
Pr: 0.2500 0.2928 0.2928  5 Pb 3.28-3.45, 2 Mg 3.33
Pr: 0.2500 0.0000 0.7072  5 Pb 3.28-3.45, 2 Mg 3.33
Pr: 0.2500 0.7072 0.0000  5 Pb 3.28-3.45, 2 Mg 3.33
Mg: 0.0000 0.0000 0.0000  6 Pr 3.33, 2 Mg 3.38
Mg: 0.5000 0.0000 0.0000  6 Pr 3.33, 2 Mg 3.38
Pb: 0.7500 0.3635 0.3635  9 Pr 3.28-3.56
Pb: 0.7500 0.0000 0.6365  9 Pr 3.28-3.56
Pb: 0.7500 0.6365 0.0000  9 Pr 3.28-3.56
Pb: 0.2500 0.6365 0.6365  9 Pr 3.28-3.56
Pb: 0.2500 0.0000 0.3635  9 Pr 3.28-3.56
Pb: 0.2500 0.3635 0.0000  9 Pr 3.28-3.56

Values from the calculation:
As for the total magnetic moment: 0.00 μB per formula unit. As for the space-group type: P6_3/mcm.


| no. | energy of formation (eV per atom) |
| --- | --- |
| 1 | -0.17 |
| 2 | -0.48 |